! Pm2DyEr4Mg (PBE, optimized geometry); values from VASP
! crystal system: monoclinic
! D(E_F): 12.03 states/eV per cell
! formation energy: 0.24 eV/f.u.
! total moment: 0.00 μB/cell
&SYSTEM
  ibrav = 0, nat = 8, ntyp = 4
/
ATOMIC_SPECIES
Er 167.26 Er.upf
Dy 162.50 Dy.upf
Pm 145.00 Pm.upf
Mg 24.30 Mg.upf
ATOMIC_POSITIONS crystal
Er 0.5000 0.2495 0.7508
Dy 0.0000 0.5000 0.5000
Er 0.0000 0.2509 0.2490
Pm 0.5000 0.0000 0.5000
Er 0.0000 0.7491 0.7510
Pm 0.0000 0.0000 0.0000
Er 0.5000 0.7505 0.2492
Mg 0.5000 0.5000 0.0000
CELL_PARAMETERS angstrom
-4.4892 0.2677 2.0496
-1.2679 -4.2431 -2.2227
2.0628 -9.4229 5.7487